Density functional theory data (GGA-PBE) for CrHgRu2 after structural relaxation.

Values from the calculation:
Symmetry: No. 139
Final energy, eV for the cell shown: -52.92
E_form, eV per atom: 0.505

Unit cell a=3.9305 b=3.9305 c=7.9989 alpha=90.00 beta=90.00 gamma=90.00
Positions (direct):
Cr  0.0000  0.0000  0.0000
Cr  0.5000  0.5000  0.5000
Hg  0.0000  0.0000  0.5000
Hg  0.5000  0.5000  0.0000
Ru  0.0000  0.5000  0.2500
Ru  0.0000  0.5000  0.7500
Ru  0.5000  0.0000  0.2500
Ru  0.5000  0.0000  0.7500